Density functional theory data (PBE-GGA) for an optimized crystal structure of TcAgTe4.

Calculated values
Magnetization   4.64 μB/f.u.

a b c (Å): 8.8928 8.8928 8.8928
angles (deg): 90.00 90.00 90.00
Last column: nearest neighbours and their distance in Å.
Space group F-43m (No. 216)
Unique sites:
Tc 0.0000 0.0000 0.0000  12 Te 3.69, 4 Ag 3.85
Ag 0.2500 0.2500 0.2500  12 Te 3.69, 4 Tc 3.85
Te 0.1250 0.1250 0.6250  6 Te 3.14

Density functional theory data (PBE-GGA) for an optimized crystal structure of TcAgTe2.

Calculated values
Magnetization   0.00 μB/f.u.
Distance to the lowest polymorph of the same formula   0.0740 eV/atom

a b c (Å): 4.1639 4.3572 6.1122
angles (deg): 90.00 90.05 90.00
Last column: nearest neighbours and their distance in Å.
Space group Pm (No. 6)
Unique sites:
Tc 0.0000 0.0000 0.0000  4 Te 2.56-2.60
Ag 0.0010 0.5000 0.3168  5 Te 2.83-3.04, 2 Tc 2.91
Te 0.5004 0.0000 0.2546  2 Tc 2.60
Te 0.9992 0.5000 0.7792  2 Tc 2.56, 1 Ag 2.83

Density functional theory data (PBE-GGA) for an optimized crystal structure of TcAg2Te.

Calculated values
Magnetization   1.00 μB/f.u.

a b c (Å): 3.2426 4.4891 10.3276
angles (deg): 90.00 90.00 90.00
Last column: nearest neighbours and their distance in Å.
Space group Immm (No. 71)
Unique sites:
Tc 0.0000 0.0000 0.0000  4 Te 2.77, 4 Ag 3.00
Ag 0.0000 0.5000 0.2554  4 Ag 2.77, 2 Tc 3.00, 2 Te 3.10
Te 0.0000 0.0000 0.5000  4 Tc 2.77, 4 Ag 3.10

Number 1: formation energy without anion corrections 1.066 eV/atom. Number 2: formation energy without anion corrections 0.205 eV/atom. Number 3: formation energy without anion corrections 0.477 eV/atom.